Entry from Alexandria via LeMat-Bulk: TlRe2As at its PBEsol-relaxed geometry (meta-GGA SCAN).

Cell lengths 4.4822, 4.4822, 3.1912 Å; angles 90.00, 90.00, 90.00 degrees
Sites, in units of the cell vectors:
Tl1 0.0000 0.0000 0.0000
Re1 0.0000 0.5000 0.5000
Re2 0.5000 0.0000 0.5000
As1 0.5000 0.5000 0.0000

excess energy over the best structure of this formula in the dataset = 0.2852 eV/atom
space group = P4/mmm, No. 123
energy of formation from the pure elements = 1.103 eV/atom
mass density = 16.88 g cm⁻³